No. 1
Below is a relaxed structure of Pm2NdTl4, with properties calculated at the PBE level.

Unit cell a=7.729 b=7.729 c=7.582 alpha=90.00 beta=90.00 gamma=90.00
Space group I4/mmm (No. 139)
Unique sites:
Pm 0.000 0.500 0.000 (multiplicity 4)
Nd 0.000 0.000 0.000 (multiplicity 2)
Tl 0.250 0.250 0.250 (multiplicity 8)

Computed properties:
- DFT total energy (eV/atom) = -3.6281
- energy above the lowest structure with this stoichiometry (meV/atom) = 0
- ΔH_f (0 K) (eV/atom) = -0.24



No. 2
Below is a relaxed structure of Na2GeAsPd6, with properties calculated at the PBE level.

Unit cell a=6.409 b=6.414 c=6.423 alpha=62.59 beta=62.46 gamma=62.49
Space group P-1 (No. 2)
Unique sites:
Na 0.200 0.200 0.199 (multiplicity 2)
Ge 0.500 0.500 0.500 (multiplicity 1)
As 0.000 0.000 0.000 (multiplicity 1)
Pd 0.166 0.641 0.328 (multiplicity 2)
Pd 0.328 0.167 0.640 (multiplicity 2)
Pd 0.360 0.672 0.834 (multiplicity 2)

Computed properties:
- DFT total energy (eV/atom) = -4.6251
- ΔH_f (0 K) (eV/atom) = -0.32



No. 3
Below is a relaxed structure of CaEr2In, with properties calculated at the PBE level.

Unit cell a=3.625 b=3.625 c=9.489 alpha=90.00 beta=90.00 gamma=90.00
Space group P4/mmm (No. 123)
Unique sites:
Ca 0.000 0.000 0.000 (multiplicity 1)
Er 0.500 0.500 0.294 (multiplicity 2)
In 0.000 0.000 0.500 (multiplicity 1)

Computed properties:
- DFT total energy (eV/atom) = -3.6172
- energy above the lowest structure with this stoichiometry (meV/atom) = 41
- ΔH_f (0 K) (eV/atom) = -0.15



No. 4
Below is a relaxed structure of HoPa4N7, with properties calculated at the PBE level.

Unit cell a=11.354 b=3.387 c=9.537 alpha=90.00 beta=106.74 gamma=90.00
Space group Cm (No. 8)
Unique sites:
Ho 0.000 0.000 0.000 (multiplicity 2)
Pa 0.111 0.000 0.417 (multiplicity 2)
Pa 0.222 0.000 0.839 (multiplicity 2)
Pa 0.304 0.500 0.224 (multiplicity 2)
Pa 0.415 0.000 0.608 (multiplicity 2)
N 0.058 0.000 0.626 (multiplicity 2)
N 0.116 0.500 0.915 (multiplicity 2)
N 0.164 0.000 0.213 (multiplicity 2)
N 0.267 0.500 0.457 (multiplicity 2)
N 0.343 0.500 0.773 (multiplicity 2)
N 0.364 0.000 0.060 (multiplicity 2)
N 0.456 0.000 0.379 (multiplicity 2)

Computed properties:
- DFT total energy (eV/atom) = -9.9928
- ΔE_f (raw) (eV per formula unit) = -19.1



- What is the DFT total energy in the fourth record?
  -9.9928 eV/atom